Record 1
4
Lattice="3.8255 0.0000 0.0000 0.0000 3.8255 0.0000 0.0000 0.0000 3.8255" Properties=species:S:1:pos:R:3 comment="PBE-GGA VZn3, relaxed" space_group="Pm-3m, No. 221" density_g_cm3=7.3 final_energy_ev_per_cell=-13.10 pbc="T T T"
V 0.0000 0.0000 0.0000
Zn 0.0000 1.9128 1.9128
Zn 1.9128 0.0000 1.9128
Zn 1.9128 1.9128 0.0000

=====

Record 2
4
Lattice="-1.8933 1.8933 3.8113 1.8933 -1.8933 3.8113 1.8933 1.8933 -3.8113" Properties=species:S:1:pos:R:3 comment="PBE-GGA V3Zn, relaxed" space_group="I4/mmm, No. 139" density_g_cm3=6.6 final_energy_ev_per_cell=-28.23 pbc="T T T"
V 0.0000 0.0000 0.0000
V 1.8933 0.0000 1.9057
V 0.0000 1.8933 1.9057
Zn 0.0000 0.0000 3.8113

=====

Record 3
5
Lattice="4.4515 0.0000 0.0000 0.0000 4.4515 0.0000 0.0000 0.0000 4.4515" Properties=species:S:1:pos:R:3 comment="PBE-GGA V4Zn, relaxed" space_group="Pm-3m, No. 221" density_g_cm3=5.1 final_energy_ev_per_cell=-30.57 de_polymorph_ev_per_fu=7.03 pbc="T T T"
V 0.0000 0.0000 0.0000
V 0.0000 2.2257 2.2257
V 2.2257 0.0000 2.2257
V 2.2257 2.2257 0.0000
Zn 2.2257 2.2257 2.2257

=====

Record 4
5
Lattice="-1.2997 1.2997 10.1838 1.2997 -1.2997 10.1838 1.2997 1.2997 -10.1838" Properties=species:S:1:pos:R:3 comment="PBE-GGA V2Zn3, relaxed" space_group="I4/mmm, No. 139" density_g_cm3=7.2 final_energy_ev_per_cell=-22.14 pbc="T T T"
V 0.0000 0.0000 2.0427
V 0.0000 0.0000 18.3250
Zn 0.0000 0.0000 6.1292
Zn 0.0000 0.0000 10.1838
Zn 0.0000 0.0000 14.2385

=====

Record 5
10
Lattice="7.0518 0.0000 0.0000 0.0000 7.0518 0.0000 0.0000 0.0000 3.7312" Properties=species:S:1:pos:R:3 comment="PBE-GGA Zr2VZn2, relaxed" space_group="P4/mbm, No. 127" density_g_cm3=6.5 final_energy_ev_per_cell=-57.72 pbc="T T T"
Zr 1.2534 2.2725 0.0000
Zr 2.2725 5.7984 0.0000
Zr 4.7793 1.2534 0.0000
Zr 5.7984 4.7793 0.0000
V 0.0000 0.0000 1.8656
V 3.5259 3.5259 1.8656
Zn 0.8819 4.4078 1.8656
Zn 2.6440 0.8819 1.8656
Zn 4.4078 6.1700 1.8656
Zn 6.1700 2.6440 1.8656

=====

Record 6
5
Lattice="4.9654 0.0000 0.0000 0.0000 4.9654 0.0000 0.0000 0.0000 4.9654" Properties=species:S:1:pos:R:3 comment="PBE-GGA Zr3VZn, relaxed" space_group="Pm-3m, No. 221" density_g_cm3=5.3 final_energy_ev_per_cell=-31.53 de_polymorph_ev_per_fu=1.28 pbc="T T T"
Zr 0.0000 0.0000 2.4827
Zr 0.0000 2.4827 0.0000
Zr 2.4827 0.0000 0.0000
V 2.4827 2.4827 2.4827
Zn 0.0000 0.0000 0.0000

=====

Record 7
6
Lattice="0.0000 3.5990 3.5990 3.5990 0.0000 3.5990 3.5990 3.5990 0.0000" Properties=species:S:1:pos:R:3 comment="PBE-GGA ZrV4Zn, relaxed" space_group="F-43m, No. 216" density_g_cm3=6.4 final_energy_ev_per_cell=-45.49 pbc="T T T"
Zr 0.0000 0.0000 0.0000
V 4.5169 2.6810 2.6810
V 2.6810 4.5169 2.6810
V 2.6810 2.6810 4.5169
V 4.5169 4.5169 4.5169
Zn 1.7995 1.7995 1.7995

=====

Record 8
12
Lattice="2.3706 -7.0947 0.0000 2.3706 7.0947 0.0000 0.0000 0.0000 6.6655" Properties=species:S:1:pos:R:3 comment="PBE-GGA Zr6VZn5, relaxed" space_group="Cmmm, No. 65" density_g_cm3=6.9 final_energy_ev_per_cell=-69.17 pbc="T T T"
Zr 0.0000 0.0000 1.6491
Zr 0.0000 0.0000 5.0165
Zr 2.3706 2.3562 1.6511
Zr 2.3706 2.3562 5.0144
Zr 2.3706 -2.3562 1.6511
Zr 2.3706 -2.3562 5.0144
V 2.3706 0.0000 0.0000
Zn 2.3706 4.7671 0.0000
Zn 2.3706 4.7149 3.3328
Zn 2.3706 0.0000 3.3328
Zn 2.3706 -4.7149 3.3328
Zn 2.3706 -4.7671 0.0000

=====

Record 9
8
Lattice="3.3537 0.0000 0.0000 0.0000 3.3537 0.0000 0.0000 0.0000 13.3180" Properties=species:S:1:pos:R:3 comment="PBE-GGA Zr4VZn3, relaxed" space_group="P4/mmm, No. 123" density_g_cm3=6.8 final_energy_ev_per_cell=-48.49 pbc="T T T"
Zr 0.0000 0.0000 1.6244
Zr 0.0000 0.0000 4.9850
Zr 0.0000 0.0000 8.3330
Zr 0.0000 0.0000 11.6936
V 1.6769 1.6769 0.0000
Zn 1.6769 1.6769 3.3143
Zn 1.6769 1.6769 6.6590
Zn 1.6769 1.6769 10.0037

=====

Record 10
5
Lattice="4.8641 0.0000 0.0000 0.0000 4.8641 0.0000 0.0000 0.0000 4.8641" Properties=species:S:1:pos:R:3 comment="PBE-GGA Zr3VZn, relaxed" space_group="Pm-3m, No. 221" density_g_cm3=5.6 final_energy_ev_per_cell=-32.81 de_polymorph_ev_per_fu=0.00 pbc="T T T"
Zr 0.0000 0.0000 2.4320
Zr 0.0000 2.4320 0.0000
Zr 2.4320 0.0000 0.0000
V 0.0000 0.0000 0.0000
Zn 2.4320 2.4320 2.4320

=====

Record 11
6
Lattice="4.2542 0.0000 0.0000 1.6431 4.9922 0.0000 1.9826 1.6392 4.7192" Properties=species:S:1:pos:R:3 comment="PBE-GGA ZrV2, relaxed" space_group="P-1, No. 2" density_g_cm3=6.4 final_energy_ev_per_cell=-52.63 pbc="T T T"
Zr 1.8919 2.4625 1.1518
Zr 5.9881 4.1689 3.5674
V 3.7547 5.9987 3.5717
V 3.8751 4.3667 1.1976
V 4.0048 2.2647 3.5216
V 4.1252 0.6327 1.1475

=====

Record 12
12
Lattice="7.4502 0.0000 0.0000 -3.7251 6.4521 0.0000 0.0000 0.0000 4.8441" Properties=species:S:1:pos:R:3 comment="PBE-GGA ZrV, relaxed" space_group="P6_3/mmc, No. 194" density_g_cm3=6.1 final_energy_ev_per_cell=-102.61 pbc="T T T"
Zr 0.0000 2.1690 1.2110
Zr -1.8467 5.3676 1.2110
Zr 1.8784 1.0845 3.6331
Zr 1.8467 5.3676 1.2110
Zr 5.5718 1.0845 3.6331
Zr 3.7251 4.2831 3.6331
V -1.1540 3.6351 3.6331
V 1.1540 3.6351 3.6331
V 0.0000 5.6340 3.6331
V 3.7251 0.8181 1.2110
V 2.5711 2.8170 1.2110
V 4.8792 2.8170 1.2110

=====

Record 13
8
Lattice="-3.8621 3.8621 3.8621 3.8621 -3.8621 3.8621 3.8621 3.8621 -3.8621" Properties=species:S:1:pos:R:3 comment="PBE-GGA ZrV, relaxed" space_group="I-43m, No. 217" density_g_cm3=4.1 final_energy_ev_per_cell=-58.14 pbc="T T T"
Zr 1.6645 1.6645 -1.6645
Zr 1.6645 -1.6645 1.6645
Zr -1.6645 1.6645 1.6645
Zr 2.1976 2.1976 2.1976
V 3.0080 3.0080 -3.0080
V 3.0080 -3.0080 3.0080
V 0.8542 0.8542 0.8542
V -3.0080 3.0080 3.0080

=====

Record 14
24
Lattice="5.2619 0.0000 0.0000 -2.6310 4.5569 0.0000 0.0000 0.0000 16.6062" Properties=species:S:1:pos:R:3 comment="PBE-GGA ZrV2, relaxed" space_group="P6_3/mmc, No. 194" density_g_cm3=6.4 final_energy_ev_per_cell=-213.43 pbc="T T T"
Zr 0.0000 0.0000 1.5618
Zr 0.0000 0.0000 6.7413
Zr 0.0000 0.0000 9.8649
Zr 0.0000 0.0000 15.0445
Zr 0.0000 3.0380 2.5905
Zr 0.0000 3.0380 5.7126
Zr 2.6310 1.5190 10.8936
Zr 2.6310 1.5190 14.0157
V -1.3155 2.2785 0.0000
V -1.3155 2.2785 8.3031
V 0.0000 1.4944 12.4547
V -1.3368 3.8098 12.4547
V 1.2942 0.7472 4.1516
V 0.0000 3.0380 10.4083
V 0.0000 3.0380 14.5010
V 2.6310 0.0000 0.0000
V 2.6310 0.0000 8.3031
V 1.3155 2.2785 0.0000
V 1.3155 2.2785 8.3031
V 2.6310 1.5190 2.1052
V 2.6310 1.5190 6.1979
V 1.3368 3.8098 12.4547
V 3.9678 0.7472 4.1516
V 2.6310 3.0626 4.1516

=====

Record 15
4
Lattice="3.1953 0.0000 0.0000 0.0000 3.1953 0.0000 0.0000 0.0000 7.1543" Properties=species:S:1:pos:R:3 comment="PBE-GGA ZrV, relaxed" space_group="P4/nmm, No. 129" density_g_cm3=6.5 final_energy_ev_per_cell=-34.99 pbc="T T T"
Zr 0.7988 0.7988 1.1081
Zr 2.3965 2.3965 6.0462
V 0.7988 0.7988 4.1673
V 2.3965 2.3965 2.9870

=====

Record 16
6
Lattice="0.0000 3.6796 3.6796 3.6796 0.0000 3.6796 3.6796 3.6796 0.0000" Properties=species:S:1:pos:R:3 comment="PBE-GGA ZrV2, relaxed" space_group="Fd-3m, No. 227" density_g_cm3=6.4 final_energy_ev_per_cell=-53.27 pbc="T T T"
Zr 0.9199 0.9199 0.9199
Zr 6.4393 6.4393 6.4393
V 3.6796 1.8398 1.8398
V 1.8398 3.6796 1.8398
V 1.8398 1.8398 3.6796
V 3.6796 3.6796 3.6796

=====

Record 17
12
Lattice="7.4287 0.0000 0.0000 0.0000 7.4287 0.0000 0.0000 0.0000 7.4287" Properties=species:S:1:pos:R:3 comment="PBE-GGA ZrV, relaxed" space_group="Pm-3n, No. 223" density_g_cm3=3.5 final_energy_ev_per_cell=-77.15 pbc="T T T"
Zr 0.0000 1.8572 3.7144
Zr 0.0000 5.5715 3.7144
Zr 1.8572 3.7144 0.0000
Zr 3.7144 0.0000 1.8572
Zr 3.7144 0.0000 5.5715
Zr 5.5715 3.7144 0.0000
V 0.0000 3.7144 1.8572
V 0.0000 3.7144 5.5715
V 1.8572 0.0000 3.7144
V 3.7144 1.8572 0.0000
V 3.7144 5.5715 0.0000
V 5.5715 0.0000 3.7144

=====

Record 18
6
Lattice="5.3918 0.0000 0.0000 0.0000 1.8636 5.1698 0.0000 -1.8636 5.1698" Properties=species:S:1:pos:R:3 comment="PBE-GGA ZrV2, relaxed" space_group="Amm2, No. 38" density_g_cm3=6.2 final_energy_ev_per_cell=-52.75 pbc="T T T"
Zr 0.0000 0.0000 0.0000
Zr 2.6959 0.0000 4.4146
V 0.0000 0.0000 2.9683
V 1.3236 0.0000 7.3082
V 2.6959 0.0000 1.5059
V 4.0682 0.0000 7.3082

=====

Record 19
16
Lattice="6.7192 0.0000 0.0000 0.0000 4.4107 0.0000 0.0000 0.0000 10.1684" Properties=species:S:1:pos:R:3 comment="PBE-GGA ZrV, relaxed" space_group="Pnma, No. 62" density_g_cm3=6.3 final_energy_ev_per_cell=-138.40 pbc="T T T"
Zr 0.3135 1.1027 1.3481
Zr 1.5387 3.3080 3.4570
Zr 1.8209 1.1027 8.5412
Zr 3.0461 3.3080 6.4323
Zr 3.6731 1.1027 3.7361
Zr 4.8983 3.3080 1.6272
Zr 5.1805 1.1027 6.7114
Zr 6.4057 3.3080 8.8203
V 0.2237 3.3080 5.9431
V 1.4083 1.1027 5.8139
V 1.9513 3.3080 0.7297
V 3.1359 1.1027 0.8589
V 3.5833 3.3080 9.3095
V 4.7679 1.1027 9.4387
V 5.3109 3.3080 4.3545
V 6.4955 1.1027 4.2253

=====

Record 20
4
Lattice="0.0000 3.1519 3.1519 3.1519 0.0000 3.1519 3.1519 3.1519 0.0000" Properties=species:S:1:pos:R:3 comment="PBE-GGA ZrV3, relaxed" space_group="Fm-3m, No. 225" density_g_cm3=6.5 final_energy_ev_per_cell=-35.10 de_polymorph_ev_per_fu=0.00 pbc="T T T"
Zr 0.0000 0.0000 0.0000
V 1.5760 1.5760 1.5760
V 3.1519 3.1519 3.1519
V 4.7279 4.7279 4.7279